# 1
PBE Nd2SmSc, relaxed; space-group type = P4/mmm, No. 123; ΔE to the lowest computed polymorph = 0.000 eV/atom
1.0
-4.269 1.487 2.140
-1.739 -4.735 -0.180
1.972 -0.897 4.559
Sc Nd Sm
1 2 1
Direct
0.500 0.000 0.000
0.000 0.500 0.000
0.000 0.000 0.500
0.500 0.500 0.500

# 2
PBE LiMnInSn, relaxed; DFT total energy = -0.164 hartree per atom; space-group type = F-43m, No. 216
1.0
4.752 0.000 0.000
2.376 4.115 0.000
2.376 1.372 3.880
In Mn Sn Li
1 1 1 1
Direct
0.750 0.750 0.750
0.000 0.000 0.000
0.250 0.250 0.250
0.500 0.500 0.500

# 3
PBE Tb7Sm12Cd, relaxed; DFT total energy = -0.141 hartree per atom; space-group type = Im-3, No. 204
1.0
-4.434 -1.881 -8.661
5.106 -7.984 2.900
-6.855 2.192 6.813
Tb Sm Cd
7 12 1
Direct
0.500 0.500 0.000
0.000 0.500 0.000
0.500 0.000 0.500
0.500 0.500 0.500
0.500 0.000 0.000
0.000 0.000 0.500
0.000 0.500 0.500
0.240 0.999 0.758
0.760 0.518 0.758
0.001 0.242 0.760
0.482 0.242 0.240
0.760 0.001 0.242
0.242 0.760 0.001
0.758 0.240 0.999
0.242 0.240 0.482
0.240 0.482 0.242
0.758 0.760 0.518
0.999 0.758 0.240
0.518 0.758 0.760
0.000 0.000 0.000

# 4
PBE KScGa2, relaxed; space-group type = Fm-3m, No. 225; ΔE to the lowest computed polymorph = 0.000 eV/atom
1.0
0.000 3.633 3.633
3.633 0.000 3.633
3.633 3.633 0.000
K Ga Sc
1 2 1
Direct
0.000 0.000 0.000
0.250 0.250 0.250
0.750 0.750 0.750
0.500 0.500 0.500

# 5
PBE K2SiRu, relaxed; space-group type = I4_1/amd, No. 141; formation energy from raw total energies = 0.5456 eV per atom
1.0
12.646 0.000 0.000
0.000 12.646 0.000
6.323 6.323 2.259
K Si Ru
4 2 2
Direct
0.875 0.125 0.750
0.875 0.125 0.250
0.875 0.625 0.250
0.375 0.125 0.750
0.250 0.750 0.500
0.500 0.500 0.000
0.750 0.250 0.500
0.000 0.000 0.000

| no. | total magnetization (Bohr magnetons per cell) |
| --- | --- |
| 1 | 0.0 |
| 2 | 3.4 |
| 3 | 0.0 |
| 4 | 0.0 |
| 5 | 1.3 |